--- A ---
Material: ScAl2Sn2
Method: DFT, GGA-PBE
State: optimized geometry

```
data_ScAl2Sn2
_chemical_formula_sum 'Sc1 Al2 Sn2'
_cell_length_a 5.1655
_cell_length_b 5.1655
_cell_length_c 5.6097
_cell_angle_alpha 90.00
_cell_angle_beta 90.00
_cell_angle_gamma 90.00
_space_group_name_H-M_alt 'P 1'
_space_group_IT_number 1
loop_
_space_group_symop_operation_xyz
'x,y,z'
loop_
_atom_site_label
_atom_site_type_symbol
_atom_site_fract_x
_atom_site_fract_y
_atom_site_fract_z
Sc1 Sc 0.0000 0.0000 0.0000
Al1 Al 0.0000 0.5000 0.5000
Al2 Al 0.5000 0.0000 0.5000
Sn1 Sn 0.5000 0.5000 0.0000
Sn2 Sn 0.5000 0.5000 0.5000
```



--- B ---
Material: ScAl2Sn2
Method: DFT, GGA-PBE
State: optimized geometry

```
data_ScAl2Sn2
_chemical_formula_sum 'Sc2 Al4 Sn4'
_cell_length_a 3.9100
_cell_length_b 3.9100
_cell_length_c 15.0357
_cell_angle_alpha 90.00
_cell_angle_beta 90.00
_cell_angle_gamma 90.00
_space_group_name_H-M_alt 'P 1'
_space_group_IT_number 1
loop_
_space_group_symop_operation_xyz
'x,y,z'
loop_
_atom_site_label
_atom_site_type_symbol
_atom_site_fract_x
_atom_site_fract_y
_atom_site_fract_z
Sc1 Sc 0.0000 0.0000 0.0000
Sc2 Sc 0.5000 0.5000 0.5000
Al1 Al 0.0000 0.5000 0.2500
Al2 Al 0.0000 0.5000 0.7500
Al3 Al 0.5000 0.0000 0.2500
Al4 Al 0.5000 0.0000 0.7500
Sn1 Sn 0.0000 0.0000 0.3986
Sn2 Sn 0.0000 0.0000 0.6014
Sn3 Sn 0.5000 0.5000 0.1014
Sn4 Sn 0.5000 0.5000 0.8986
```



B has the most favorable energy; the next structure is 768 meV/atom above.



--- A ---
Material: Sc3AlSn
Method: DFT, GGA-PBE
State: optimized geometry

```
data_Sc3AlSn
_chemical_formula_sum 'Sc6 Al2 Sn2'
_cell_length_a 7.2116
_cell_length_b 7.2116
_cell_length_c 5.1979
_cell_angle_alpha 90.00
_cell_angle_beta 90.00
_cell_angle_gamma 120.00
_space_group_name_H-M_alt 'P 1'
_space_group_IT_number 1
loop_
_space_group_symop_operation_xyz
'x,y,z'
loop_
_atom_site_label
_atom_site_type_symbol
_atom_site_fract_x
_atom_site_fract_y
_atom_site_fract_z
Sc1 Sc 0.1916 0.3832 0.2500
Sc2 Sc 0.1916 0.8084 0.2500
Sc3 Sc 0.3832 0.1916 0.7500
Sc4 Sc 0.6168 0.8084 0.2500
Sc5 Sc 0.8084 0.1916 0.7500
Sc6 Sc 0.8084 0.6168 0.7500
Al1 Al 0.0000 0.0000 0.0000
Al2 Al 0.0000 0.0000 0.5000
Sn1 Sn 0.3333 0.6667 0.7500
Sn2 Sn 0.6667 0.3333 0.2500
```



--- B ---
Material: Sc3AlSn
Method: DFT, GGA-PBE
State: optimized geometry

```
data_Sc3AlSn
_chemical_formula_sum 'Sc3 Al1 Sn1'
_cell_length_a 5.0737
_cell_length_b 5.0737
_cell_length_c 5.0737
_cell_angle_alpha 90.00
_cell_angle_beta 90.00
_cell_angle_gamma 90.00
_space_group_name_H-M_alt 'P 1'
_space_group_IT_number 1
loop_
_space_group_symop_operation_xyz
'x,y,z'
loop_
_atom_site_label
_atom_site_type_symbol
_atom_site_fract_x
_atom_site_fract_y
_atom_site_fract_z
Sc1 Sc 0.0000 0.0000 0.5000
Sc2 Sc 0.0000 0.5000 0.0000
Sc3 Sc 0.5000 0.0000 0.0000
Al1 Al 0.0000 0.0000 0.0000
Sn1 Sn 0.5000 0.5000 0.5000
```



A has the most favorable energy; the next structure is 231 meV/atom above.



--- A ---
Material: ScAl3Sn
Method: DFT, GGA-PBE
State: optimized geometry

```
data_ScAl3Sn
_chemical_formula_sum 'Sc1 Al3 Sn1'
_cell_length_a 5.2318
_cell_length_b 5.2318
_cell_length_c 5.2318
_cell_angle_alpha 90.00
_cell_angle_beta 90.00
_cell_angle_gamma 90.00
_space_group_name_H-M_alt 'P 1'
_space_group_IT_number 1
loop_
_space_group_symop_operation_xyz
'x,y,z'
loop_
_atom_site_label
_atom_site_type_symbol
_atom_site_fract_x
_atom_site_fract_y
_atom_site_fract_z
Sc1 Sc 0.0000 0.0000 0.0000
Al1 Al 0.0000 0.0000 0.5000
Al2 Al 0.0000 0.5000 0.0000
Al3 Al 0.5000 0.0000 0.0000
Sn1 Sn 0.5000 0.5000 0.5000
```



--- B ---
Material: ScAl3Sn
Method: DFT, GGA-PBE
State: optimized geometry

```
data_ScAl3Sn
_chemical_formula_sum 'Sc1 Al3 Sn1'
_cell_length_a 5.1797
_cell_length_b 5.1797
_cell_length_c 5.1797
_cell_angle_alpha 90.00
_cell_angle_beta 90.00
_cell_angle_gamma 90.00
_space_group_name_H-M_alt 'P 1'
_space_group_IT_number 1
loop_
_space_group_symop_operation_xyz
'x,y,z'
loop_
_atom_site_label
_atom_site_type_symbol
_atom_site_fract_x
_atom_site_fract_y
_atom_site_fract_z
Sc1 Sc 0.0000 0.0000 0.0000
Al1 Al 0.0000 0.5000 0.5000
Al2 Al 0.5000 0.0000 0.5000
Al3 Al 0.5000 0.5000 0.0000
Sn1 Sn 0.5000 0.5000 0.5000
```



B has the most favorable energy; the next structure is 12 meV/atom above.



--- A ---
Material: SrScAl
Method: DFT, GGA-PBE
State: optimized geometry

```
data_SrScAl
_chemical_formula_sum 'Sr4 Sc4 Al4'
_cell_length_a 3.7247
_cell_length_b 22.5607
_cell_length_c 4.4025
_cell_angle_alpha 90.00
_cell_angle_beta 90.00
_cell_angle_gamma 90.00
_space_group_name_H-M_alt 'P 1'
_space_group_IT_number 1
loop_
_space_group_symop_operation_xyz
'x,y,z'
loop_
_atom_site_label
_atom_site_type_symbol
_atom_site_fract_x
_atom_site_fract_y
_atom_site_fract_z
Sr1 Sr 0.0000 0.1786 0.2500
Sr2 Sr 0.0000 0.8214 0.7500
Sr3 Sr 0.5000 0.3214 0.7500
Sr4 Sr 0.5000 0.6786 0.2500
Sc1 Sc 0.0000 0.0564 0.7500
Sc2 Sc 0.0000 0.9436 0.2500
Sc3 Sc 0.5000 0.4436 0.2500
Sc4 Sc 0.5000 0.5564 0.7500
Al1 Al 0.0000 0.4554 0.7500
Al2 Al 0.0000 0.5446 0.2500
Al3 Al 0.5000 0.0446 0.2500
Al4 Al 0.5000 0.9554 0.7500
```



--- B ---
Material: SrScAl
Method: DFT, GGA-PBE
State: optimized geometry

```
data_SrScAl
_chemical_formula_sum 'Sr4 Sc4 Al4'
_cell_length_a 13.8794
_cell_length_b 3.4568
_cell_length_c 7.3123
_cell_angle_alpha 90.00
_cell_angle_beta 105.22
_cell_angle_gamma 90.00
_space_group_name_H-M_alt 'P 1'
_space_group_IT_number 1
loop_
_space_group_symop_operation_xyz
'x,y,z'
loop_
_atom_site_label
_atom_site_type_symbol
_atom_site_fract_x
_atom_site_fract_y
_atom_site_fract_z
Sr1 Sr 0.1349 0.0000 0.0731
Sr2 Sr 0.3651 0.5000 0.9269
Sr3 Sr 0.6349 0.5000 0.0731
Sr4 Sr 0.8651 0.0000 0.9269
Sc1 Sc 0.1501 0.0000 0.5597
Sc2 Sc 0.3499 0.5000 0.4403
Sc3 Sc 0.6501 0.5000 0.5597
Sc4 Sc 0.8499 0.0000 0.4403
Al1 Al 0.0048 0.5000 0.6862
Al2 Al 0.4952 0.0000 0.3138
Al3 Al 0.5048 0.0000 0.6862
Al4 Al 0.9952 0.5000 0.3138
```



A has the most favorable energy; the next structure is 17 meV/atom above.



--- A ---
Material: SrScAl
Method: DFT, GGA-PBE
State: optimized geometry

```
data_SrScAl
_chemical_formula_sum 'Sr4 Sc4 Al4'
_cell_length_a 7.2866
_cell_length_b 7.2866
_cell_length_c 7.2866
_cell_angle_alpha 90.00
_cell_angle_beta 90.00
_cell_angle_gamma 90.00
_space_group_name_H-M_alt 'P 1'
_space_group_IT_number 1
loop_
_space_group_symop_operation_xyz
'x,y,z'
loop_
_atom_site_label
_atom_site_type_symbol
_atom_site_fract_x
_atom_site_fract_y
_atom_site_fract_z
Sr1 Sr 0.0000 0.0000 0.0000
Sr2 Sr 0.0000 0.5000 0.5000
Sr3 Sr 0.5000 0.0000 0.5000
Sr4 Sr 0.5000 0.5000 0.0000
Sc1 Sc 0.2500 0.2500 0.2500
Sc2 Sc 0.2500 0.7500 0.7500
Sc3 Sc 0.7500 0.2500 0.7500
Sc4 Sc 0.7500 0.7500 0.2500
Al1 Al 0.2500 0.2500 0.7500
Al2 Al 0.2500 0.7500 0.2500
Al3 Al 0.7500 0.2500 0.2500
Al4 Al 0.7500 0.7500 0.7500
```



--- B ---
Material: SrScAl
Method: DFT, GGA-PBE
State: optimized geometry

```
data_SrScAl
_chemical_formula_sum 'Sr2 Sc2 Al2'
_cell_length_a 4.8264
_cell_length_b 4.8264
_cell_length_c 10.0171
_cell_angle_alpha 90.00
_cell_angle_beta 90.00
_cell_angle_gamma 120.00
_space_group_name_H-M_alt 'P 1'
_space_group_IT_number 1
loop_
_space_group_symop_operation_xyz
'x,y,z'
loop_
_atom_site_label
_atom_site_type_symbol
_atom_site_fract_x
_atom_site_fract_y
_atom_site_fract_z
Sr1 Sr 0.3333 0.6667 0.3201
Sr2 Sr 0.6667 0.3333 0.6799
Sc1 Sc 0.3333 0.6667 0.9370
Sc2 Sc 0.6667 0.3333 0.0630
Al1 Al 0.0000 0.0000 0.1320
Al2 Al 0.0000 0.0000 0.8680
```



--- C ---
Material: SrScAl
Method: DFT, GGA-PBE
State: optimized geometry

```
data_SrScAl
_chemical_formula_sum 'Sr4 Sc4 Al4'
_cell_length_a 17.0931
_cell_length_b 3.5216
_cell_length_c 5.7512
_cell_angle_alpha 90.00
_cell_angle_beta 101.54
_cell_angle_gamma 90.00
_space_group_name_H-M_alt 'P 1'
_space_group_IT_number 1
loop_
_space_group_symop_operation_xyz
'x,y,z'
loop_
_atom_site_label
_atom_site_type_symbol
_atom_site_fract_x
_atom_site_fract_y
_atom_site_fract_z
Sr1 Sr 0.0681 0.0000 0.2908
Sr2 Sr 0.4319 0.5000 0.7092
Sr3 Sr 0.5681 0.5000 0.2908
Sr4 Sr 0.9319 0.0000 0.7092
Sc1 Sc 0.2416 0.0000 0.7633
Sc2 Sc 0.2584 0.5000 0.2367
Sc3 Sc 0.7416 0.5000 0.7633
Sc4 Sc 0.7584 0.0000 0.2367
Al1 Al 0.1124 0.5000 0.8311
Al2 Al 0.3876 0.0000 0.1689
Al3 Al 0.6124 0.0000 0.8311
Al4 Al 0.8876 0.5000 0.1689
```



--- D ---
Material: SrScAl
Method: DFT, GGA-PBE
State: optimized geometry

```
data_SrScAl
_chemical_formula_sum 'Sr2 Sc2 Al2'
_cell_length_a 3.5951
_cell_length_b 3.5951
_cell_length_c 13.2356
_cell_angle_alpha 90.00
_cell_angle_beta 90.00
_cell_angle_gamma 90.00
_space_group_name_H-M_alt 'P 1'
_space_group_IT_number 1
loop_
_space_group_symop_operation_xyz
'x,y,z'
loop_
_atom_site_label
_atom_site_type_symbol
_atom_site_fract_x
_atom_site_fract_y
_atom_site_fract_z
Sr1 Sr 0.0000 0.0000 0.0000
Sr2 Sr 0.5000 0.5000 0.2680
Sc1 Sc 0.0000 0.0000 0.4814
Sc2 Sc 0.0000 0.0000 0.7209
Al1 Al 0.5000 0.5000 0.6013
Al2 Al 0.5000 0.5000 0.8314
```



D has the most favorable energy; the next structure is 43 meV/atom above.